# Tm4UN5 | Alexandria | GGA-PBE | optimized geometry
data_Tm4UN5
_chemical_formula_sum 'Tm8 U2 N10'
_symmetry_space_group_name_H-M 'I 4/m'
_symmetry_Int_Tables_number 87
_symmetry_space_group_name_Hall '-I 4'
_cell_length_a 7.6016
_cell_length_b 7.6016
_cell_length_c 4.8288
_cell_angle_alpha 90.00
_cell_angle_beta 90.00
_cell_angle_gamma 90.00
loop_
_atom_site_label
_atom_site_type_symbol
_atom_site_fract_x
_atom_site_fract_y
_atom_site_fract_z
Tm1 Tm 0.0989 0.3016 0.0000
U1 U 0.0000 0.0000 0.5000
N1 N 0.0000 0.0000 0.0000
N2 N 0.0944 0.2891 0.5000
# energy relative to the elements, uncorrected = -1.73 eV per atom
# total energy = -8.810 eV/atom
# M_tot = 2.8 Bohr magnetons per cell